Here is crystalline InGa2Si2 at its relaxed geometry from Alexandria. Energies are from PBE.

a = 7.8955 Å, b = 7.8955 Å, c = 3.0375 Å
α = 90.00°, β = 90.00°, γ = 90.00°
With the nearest neighbours (Å) after each atom.
Fractional positions:
In 0.0000 0.0000 0.0000  4 Ga 3.04, 2 In 3.04, 8 Si 3.38
In 0.5000 0.5000 0.0000  4 Ga 3.04, 2 In 3.04, 8 Si 3.38
Ga 0.1432 0.3568 0.0000  6 Si 2.76-2.78, 2 In 3.04, 2 Ga 3.04
Ga 0.3568 0.8568 0.0000  6 Si 2.76-2.78, 2 In 3.04, 2 Ga 3.04
Ga 0.6432 0.1432 0.0000  6 Si 2.76-2.78, 2 In 3.04, 2 Ga 3.04
Ga 0.8568 0.6432 0.0000  6 Si 2.76-2.78, 2 In 3.04, 2 Ga 3.04
Si 0.1480 0.6480 0.5000  6 Ga 2.76-2.78, 2 Si 3.04
Si 0.3520 0.1480 0.5000  6 Ga 2.76-2.78, 2 Si 3.04
Si 0.6480 0.8520 0.5000  6 Ga 2.76-2.78, 2 Si 3.04
Si 0.8520 0.3520 0.5000  6 Ga 2.76-2.78, 2 Si 3.04

Computed properties:
Its energy above the most stable polymorph in this dataset is 0.153 eV per atom. The calculation puts the raw formation energy at 0.297 eV/atom. Its crystal system is tetragonal. The value obtained for the energy is -36.31 eV/cell. The space group is P4/mbm (127).

Here is crystalline Na5SnPb at its relaxed geometry from Alexandria. Energies are from PBE.

a = 5.8442 Å, b = 5.8442 Å, c = 12.7915 Å
α = 90.00°, β = 90.00°, γ = 74.55°
With the nearest neighbours (Å) after each atom.
Fractional positions:
Na 0.0862 0.9138 0.7500  1 Pb 3.08, 2 Sn 3.26, 4 Na 3.26
Na 0.1497 0.4335 0.6107  2 Sn 3.22-3.49, 4 Na 3.26-3.56, 2 Pb 3.35-3.56
Na 0.1497 0.4335 0.8893  2 Sn 3.22-3.49, 4 Na 3.26-3.56, 2 Pb 3.35-3.56
Na 0.4335 0.1497 0.1107  2 Sn 3.22-3.49, 4 Na 3.26-3.56, 2 Pb 3.35-3.56
Na 0.4335 0.1497 0.3893  2 Sn 3.22-3.49, 4 Na 3.26-3.56, 2 Pb 3.35-3.56
Na 0.5665 0.8503 0.6107  2 Sn 3.22-3.49, 4 Na 3.26-3.56, 2 Pb 3.35-3.56
Na 0.5665 0.8503 0.8893  2 Sn 3.22-3.49, 4 Na 3.26-3.56, 2 Pb 3.35-3.56
Na 0.8503 0.5665 0.1107  2 Sn 3.22-3.49, 4 Na 3.26-3.56, 2 Pb 3.35-3.56
Na 0.8503 0.5665 0.3893  2 Sn 3.22-3.49, 4 Na 3.26-3.56, 2 Pb 3.35-3.56
Na 0.9138 0.0862 0.2500  1 Pb 3.08, 2 Sn 3.26, 4 Na 3.26
Sn 0.0000 0.0000 0.0000  10 Na 3.22-3.49
Sn 0.0000 0.0000 0.5000  10 Na 3.22-3.49
Pb 0.3490 0.6510 0.2500  5 Na 3.08-3.35
Pb 0.6510 0.3490 0.7500  5 Na 3.08-3.35

Computed properties:
The formation energy comes out at -0.0804 eV/atom. Its energy above the most stable polymorph in this dataset is 0.000 eV per atom. Its crystal system is orthorhombic. The value obtained for the energy is -29.74 eV/cell. The space group is Cmcm (63).

Here is crystalline InW2Se at its relaxed geometry from Alexandria. Energies are from PBE.

a = 3.0080 Å, b = 5.1341 Å, c = 9.3086 Å
α = 90.00°, β = 90.00°, γ = 90.00°
With the nearest neighbours (Å) after each atom.
Fractional positions:
In 0.0000 0.0000 0.0000  4 Se 2.98, 8 W 3.01-3.29, 2 In 3.01
In 0.5000 0.5000 0.5000  4 Se 2.98, 8 W 3.01-3.29, 2 In 3.01
W 0.0000 0.5000 0.2203  2 Se 2.54
W 0.0000 0.5000 0.7797  2 Se 2.54
W 0.5000 0.0000 0.2797  2 Se 2.54
W 0.5000 0.0000 0.7203  2 Se 2.54
Se 0.0000 0.0000 0.5000  4 W 2.54
Se 0.5000 0.5000 0.0000  4 W 2.54

Computed properties:
Its energy above the most stable polymorph in this dataset is 0.418 eV per atom. The calculation puts the raw formation energy at 0.719 eV/atom. Its crystal system is orthorhombic. The value obtained for the energy is -58.51 eV/cell. The space group is Immm (71).

Here is crystalline ScSi3Rh at its relaxed geometry from Alexandria. Energies are from PBE.

a = 4.6268 Å, b = 4.6268 Å, c = 4.6268 Å
α = 90.00°, β = 90.00°, γ = 90.00°
With the nearest neighbours (Å) after each atom.
Fractional positions:
Sc 0.0000 0.0000 0.0000  12 Si 3.27
Si 0.0000 0.5000 0.5000  2 Rh 2.31
Si 0.5000 0.0000 0.5000  2 Rh 2.31
Si 0.5000 0.5000 0.0000  2 Rh 2.31
Rh 0.5000 0.5000 0.5000  6 Si 2.31

Computed properties:
The calculation puts the raw formation energy at 0.235 eV/atom. Its crystal system is cubic. The value obtained for the energy is -28.77 eV/cell. The space group is Pm-3m (221).

Here is crystalline ThCu5Hg at its relaxed geometry from Alexandria. Energies are from PBE.

a = 8.3948 Å, b = 5.0867 Å, c = 10.5921 Å
α = 90.00°, β = 90.00°, γ = 90.00°
With the nearest neighbours (Å) after each atom.
Fractional positions:
Th 0.2453 0.2500 0.0663  12 Cu 2.95-3.28, 1 Hg 3.29
Th 0.2547 0.7500 0.5663  12 Cu 2.95-3.28, 1 Hg 3.29
Th 0.7453 0.2500 0.4337  12 Cu 2.95-3.28, 1 Hg 3.29
Th 0.7547 0.7500 0.9337  12 Cu 2.95-3.28, 1 Hg 3.29
Cu 0.0529 0.7500 0.1100  4 Cu 2.51-2.59, 1 Hg 2.68
Cu 0.0669 0.9997 0.3139  7 Cu 2.48-2.55
Cu 0.0669 0.5003 0.3139  7 Cu 2.48-2.55
Cu 0.0818 0.2500 0.5145  5 Cu 2.48-2.55
Cu 0.1858 0.2500 0.7407  7 Cu 2.54-2.59
Cu 0.3142 0.7500 0.2407  7 Cu 2.54-2.59
Cu 0.4182 0.7500 0.0145  5 Cu 2.48-2.55
Cu 0.4331 0.0003 0.8139  7 Cu 2.48-2.55
Cu 0.4331 0.4997 0.8139  7 Cu 2.48-2.55
Cu 0.4471 0.2500 0.6100  4 Cu 2.51-2.59, 1 Hg 2.68
Cu 0.5529 0.7500 0.3900  4 Cu 2.51-2.59, 1 Hg 2.68
Cu 0.5669 0.9997 0.1861  7 Cu 2.48-2.55
Cu 0.5669 0.5003 0.1861  7 Cu 2.48-2.55
Cu 0.5818 0.2500 0.9855  5 Cu 2.48-2.55
Cu 0.6858 0.2500 0.7593  7 Cu 2.54-2.59
Cu 0.8142 0.7500 0.2593  7 Cu 2.54-2.59
Cu 0.9182 0.7500 0.4855  5 Cu 2.48-2.55
Cu 0.9331 0.0003 0.6861  7 Cu 2.48-2.55
Cu 0.9331 0.4997 0.6861  7 Cu 2.48-2.55
Cu 0.9471 0.2500 0.8900  4 Cu 2.51-2.59, 1 Hg 2.68
Hg 0.1371 0.7500 0.8663  8 Cu 2.68-2.90
Hg 0.3629 0.2500 0.3663  8 Cu 2.68-2.90
Hg 0.6371 0.7500 0.6337  8 Cu 2.68-2.90
Hg 0.8629 0.2500 0.1337  8 Cu 2.68-2.90

Computed properties:
The formation energy comes out at -0.1582 eV/atom. Its crystal system is orthorhombic. The value obtained for the energy is -117.24 eV/cell. The space group is Pnma (62).

Here is crystalline Hf2AlTl at its relaxed geometry from Alexandria. Energies are from PBE.

a = 3.1625 Å, b = 3.1625 Å, c = 29.7992 Å
α = 90.00°, β = 90.00°, γ = 120.00°
With the nearest neighbours (Å) after each atom.
Fractional positions:
Hf 0.0000 0.0000 0.2464  3 Al 3.00, 6 Hf 3.16, 3 Tl 3.17
Hf 0.0000 0.0000 0.7536  3 Al 3.00, 6 Hf 3.16, 3 Tl 3.17
Hf 0.3333 0.6667 0.4203  3 Al 3.00, 6 Hf 3.16, 3 Tl 3.17
Hf 0.3333 0.6667 0.9130  3 Al 3.00, 6 Hf 3.16, 3 Tl 3.17
Hf 0.6667 0.3333 0.0870  3 Al 3.00, 6 Hf 3.16, 3 Tl 3.17
Hf 0.6667 0.3333 0.5797  3 Al 3.00, 6 Hf 3.16, 3 Tl 3.17
Al 0.0000 0.0000 0.5000  6 Hf 3.00, 6 Al 3.16
Al 0.3333 0.6667 0.1667  6 Hf 3.00, 6 Al 3.16
Al 0.6667 0.3333 0.8333  6 Hf 3.00, 6 Al 3.16
Tl 0.0000 0.0000 0.0000  6 Tl 3.16, 6 Hf 3.17
Tl 0.3333 0.6667 0.6667  6 Tl 3.16, 6 Hf 3.17
Tl 0.6667 0.3333 0.3333  6 Tl 3.16, 6 Hf 3.17

Computed properties:
The formation energy comes out at 0.0225 eV/atom. Its energy above the most stable polymorph in this dataset is 0.093 eV per atom. Its crystal system is trigonal. The value obtained for the energy is -77.78 eV/cell. The space group is R-3m (166).

Here is crystalline CaTa3Ge at its relaxed geometry from Alexandria. Energies are from PBE.

a = 4.7433 Å, b = 4.7433 Å, c = 4.7433 Å
α = 90.00°, β = 90.00°, γ = 90.00°
With the nearest neighbours (Å) after each atom.
Fractional positions:
Ca 0.0000 0.0000 0.0000  6 Ta 2.37
Ta 0.0000 0.0000 0.5000  2 Ca 2.37
Ta 0.0000 0.5000 0.0000  2 Ca 2.37
Ta 0.5000 0.0000 0.0000  2 Ca 2.37
Ge 0.5000 0.5000 0.5000  12 Ta 3.35

Computed properties:
The formation energy comes out at 2.5582 eV/atom. Its energy above the most stable polymorph in this dataset is 1.611 eV per atom. Its crystal system is cubic. The value obtained for the energy is -29.39 eV/cell. The space group is Pm-3m (221).

Here is crystalline Ba2Si5Pd3 at its relaxed geometry from Alexandria. Energies are from PBE.

a = 8.7182 Å, b = 8.7182 Å, c = 8.7182 Å
α = 105.86°, β = 88.45°, γ = 138.92°
With the nearest neighbours (Å) after each atom.
Fractional positions:
Ba 0.1265 0.2412 0.3677  10 Si 3.35-3.42, 7 Pd 3.36-3.68
Ba 0.3735 0.7412 0.1147  10 Si 3.35-3.42, 7 Pd 3.36-3.68
Ba 0.6265 0.2588 0.8853  10 Si 3.35-3.42, 7 Pd 3.36-3.68
Ba 0.8735 0.7588 0.6323  10 Si 3.35-3.42, 7 Pd 3.36-3.68
Si 0.0122 0.7500 0.2622  2 Si 2.51, 2 Pd 2.51
Si 0.1213 0.6289 0.7502  2 Si 2.51, 3 Pd 2.54-2.76
Si 0.2500 0.2500 0.0000  4 Pd 2.52
Si 0.3787 0.1289 0.5076  2 Si 2.51, 3 Pd 2.54-2.76
Si 0.4878 0.7500 0.7378  2 Si 2.51, 2 Pd 2.51
Si 0.5122 0.2500 0.2622  2 Si 2.51, 2 Pd 2.51
Si 0.6213 0.8711 0.4924  2 Si 2.51, 3 Pd 2.54-2.76
Si 0.7500 0.7500 0.0000  4 Pd 2.52
Si 0.8787 0.3711 0.2498  2 Si 2.51, 3 Pd 2.54-2.76
Si 0.9878 0.2500 0.7378  2 Si 2.51, 2 Pd 2.51
Pd 0.1318 0.8910 0.0227  5 Si 2.51-2.76
Pd 0.2500 0.7500 0.5000  4 Si 2.54
Pd 0.3682 0.3910 0.7592  5 Si 2.51-2.76
Pd 0.6318 0.6090 0.2408  5 Si 2.51-2.76
Pd 0.7500 0.2500 0.5000  4 Si 2.54
Pd 0.8682 0.1090 0.9773  5 Si 2.51-2.76

Computed properties:
The calculation puts the raw formation energy at -0.563 eV/atom. Its crystal system is orthorhombic. The value obtained for the energy is -104.33 eV/cell. The space group is Ibam (72).

Here is crystalline TlRu2Se2 at its relaxed geometry from Alexandria. Energies are from PBE.

a = 4.0938 Å, b = 4.0938 Å, c = 13.0636 Å
α = 90.00°, β = 90.00°, γ = 90.00°
With the nearest neighbours (Å) after each atom.
Fractional positions:
Tl 0.0000 0.0000 0.0000  8 Se 3.48, 8 Ru 3.85
Tl 0.5000 0.5000 0.5000  8 Se 3.48, 8 Ru 3.85
Ru 0.0000 0.5000 0.2500  4 Se 2.44
Ru 0.0000 0.5000 0.7500  4 Se 2.44
Ru 0.5000 0.0000 0.2500  4 Se 2.44
Ru 0.5000 0.0000 0.7500  4 Se 2.44
Se 0.0000 0.0000 0.3519  4 Ru 2.44
Se 0.0000 0.0000 0.6481  4 Ru 2.44
Se 0.5000 0.5000 0.1481  4 Ru 2.44
Se 0.5000 0.5000 0.8519  4 Ru 2.44

Computed properties:
Its energy above the most stable polymorph in this dataset is 0.000 eV per atom. The calculation puts the raw formation energy at -0.195 eV/atom. Its crystal system is tetragonal. The value obtained for the energy is -57.72 eV/cell. The space group is I4/mmm (139).

Here is crystalline HfSnRh4 at its relaxed geometry from Alexandria. Energies are from PBE.

a = 4.2784 Å, b = 4.2784 Å, c = 6.1513 Å
α = 90.00°, β = 90.00°, γ = 90.00°
With the nearest neighbours (Å) after each atom.
Fractional positions:
Hf 0.0000 0.0000 0.0000  8 Rh 2.62
Sn 0.5000 0.5000 0.5000  8 Rh 2.65
Rh 0.0000 0.5000 0.2468  2 Hf 2.62, 2 Sn 2.65
Rh 0.0000 0.5000 0.7532  2 Hf 2.62, 2 Sn 2.65
Rh 0.5000 0.0000 0.2468  2 Hf 2.62, 2 Sn 2.65
Rh 0.5000 0.0000 0.7532  2 Hf 2.62, 2 Sn 2.65

Computed properties:
The formation energy comes out at -0.2533 eV/atom. Its energy above the most stable polymorph in this dataset is 0.235 eV per atom. Its crystal system is tetragonal. The value obtained for the energy is -44.88 eV/cell. The space group is P4/mmm (123).